Here is NiMoO2 after structural relaxation from Alexandria via LeMat-Bulk. Energies are from PBE+U.

Its crystal system is triclinic. The offset from the most stable computed form is 0.94 eV/f.u. The calculation puts the total energy at -5.481 eV per atom.

Unit cell a=6.184 b=4.051 c=5.555 alpha=86.60 beta=124.28 gamma=112.51
Last column: magnetic moment on the atom in μB.
Fractional coordinates of all 8 atoms:
Ni 0.276 0.494 0.853  -1.00
Ni 0.045 0.872 0.997  1.03
Mo 0.482 0.608 0.475  1.45
Mo 0.723 0.170 0.031  2.36
O 0.110 0.435 0.420  -0.01
O 0.675 0.760 0.296  -0.08
O 0.521 0.136 0.557  0.02
O 0.318 0.023 0.898  -0.01